1.
## BeSeBr2 (meta-GGA SCAN)

Data for a PBEsol-optimized structure of BeSeBr2.

a b c (Å): 6.8070 6.8070 6.8070
angles (deg): 90.00 90.00 90.00
Space group Fm-3m (No. 225)
Symmetry-distinct sites (fractional):
Be: 0.0000 0.0000 0.0000 x4
Se: 0.0000 0.0000 0.5000 x4
Br: 0.2500 0.2500 0.2500 x8

Results
- Offset from the most stable computed form: 0.9603 eV per atom
- Total DFT energy (no corrections): -14.9759 eV per atom
- Energy relative to the elements, uncorrected: 3.45 eV/f.u.

2.
## BaSr3Pd (meta-GGA SCAN)

Data for a PBEsol-optimized structure of BaSr3Pd.

a b c (Å): 6.0356 6.0356 6.0356
angles (deg): 90.00 90.00 90.00
Space group Pm-3m (No. 221)
Symmetry-distinct sites (fractional):
Ba: 0.0000 0.0000 0.0000 x1
Sr: 0.0000 0.5000 0.5000 x3
Pd: 0.5000 0.5000 0.5000 x1

Results
- Total DFT energy (no corrections): -28.1298 eV per atom
- DFT formation energy: -0.300 eV per atom

3.
## PRhPb2 (meta-GGA SCAN)

Data for a PBEsol-optimized structure of PRhPb2.

a b c (Å): 6.4730 7.3173 3.4067
angles (deg): 90.00 90.18 90.00
Space group C2/m (No. 12)
Symmetry-distinct sites (fractional):
P: 0.0000 0.0000 0.0000 x2
Rh: 0.0000 0.5000 0.0000 x2
Pb: 0.2500 0.2500 0.5000 x4

Results
- Total DFT energy (no corrections): -48.5141 eV per atom
- DFT formation energy: 0.419 eV per atom

4.
## Li2ZnPt (meta-GGA SCAN)

Data for a PBEsol-optimized structure of Li2ZnPt.

a b c (Å): 2.7326 3.8373 5.3303
angles (deg): 90.00 90.00 90.00
Space group Pmm2 (No. 25)
Symmetry-distinct sites (fractional):
Li: 0.0000 0.0000 0.0000 x1
Li: 0.5000 0.5000 0.2665 x1
Zn: 0.5000 0.5000 0.7311 x1
Pt: 0.0000 0.0000 0.5064 x1

Results
- Total DFT energy (no corrections): -22.6378 eV per atom
- DFT formation energy: -0.516 eV per atom

5.
## Ca2AlTe (meta-GGA SCAN)

Data for a PBEsol-optimized structure of Ca2AlTe.

a b c (Å): 4.4231 4.4231 6.3237
angles (deg): 90.00 90.00 90.00
Space group P4/mmm (No. 123)
Symmetry-distinct sites (fractional):
Ca: 0.0000 0.0000 0.0000 x1
Ca: 0.5000 0.5000 0.5000 x1
Al: 0.0000 0.0000 0.5000 x1
Te: 0.5000 0.5000 0.0000 x1

Results
- Offset from the most stable computed form: 0.0811 eV per atom
- Total DFT energy (no corrections): -16.7057 eV per atom
- Energy relative to the elements, uncorrected: -2.49 eV/f.u.

6.
## BaFe2S4 (meta-GGA SCAN)

Data for a PBEsol-optimized structure of BaFe2S4.

a b c (Å): 7.3672 7.3672 4.9966
angles (deg): 90.00 90.00 90.00
Space group I4/m (No. 87)
Symmetry-distinct sites (fractional):
Ba: 0.0000 0.0000 0.0000 x2
Fe: 0.0000 0.5000 0.2500 x4
S: 0.1116 0.2998 0.5000 x8

Results
- Offset from the most stable computed form: 0.0146 eV per atom
- Total DFT energy (no corrections): -17.2548 eV per atom
- Energy relative to the elements, uncorrected: -6.46 eV/f.u.

7.
## NiHgBr2 (meta-GGA SCAN)

Data for a PBEsol-optimized structure of NiHgBr2.

a b c (Å): 3.3031 6.5613 9.3542
angles (deg): 90.00 90.00 90.00
Space group Immm (No. 71)
Symmetry-distinct sites (fractional):
Ni: 0.0000 0.0000 0.0000 x2
Hg: 0.0000 0.0000 0.5000 x2
Br: 0.0000 0.5000 0.3301 x4

Results
- Offset from the most stable computed form: 0.0000 eV per atom
- Total DFT energy (no corrections): -31.0464 eV per atom
- Energy relative to the elements, uncorrected: -0.93 eV/f.u.

8.
## Cd3Si (meta-GGA SCAN)

Data for a PBEsol-optimized structure of Cd3Si.

a b c (Å): 10.0119 10.0119 2.8009
angles (deg): 90.00 90.00 120.00
Space group R-3m (No. 166, hexagonal axes)
Symmetry-distinct sites (fractional):
Cd: 0.0000 0.5000 0.0000 x9
Si: 0.0000 0.0000 0.0000 x3

Results
- Total DFT energy (no corrections): -24.9271 eV per atom
- Energy relative to the elements, uncorrected: 1.55 eV/f.u.

9.
## YMg2Cu2 (meta-GGA SCAN)

Data for a PBEsol-optimized structure of YMg2Cu2.

a b c (Å): 4.0841 17.8773 5.2291
angles (deg): 90.00 90.00 90.00
Space group Cmc2_1 (No. 36)
Symmetry-distinct sites (fractional):
Y: 0.0000 0.0867 0.0000 x4
Mg: 0.0000 0.2799 0.2319 x4
Mg: 0.0000 0.4438 0.0002 x4
Cu: 0.0000 0.1542 0.4922 x4
Cu: 0.0000 0.3166 0.7283 x4

Results
- Offset from the most stable computed form: 0.0242 eV per atom
- Total DFT energy (no corrections): -13.8180 eV per atom
- DFT formation energy: -0.180 eV per atom

10.
## Tl2AgMo (meta-GGA SCAN)

Data for a PBEsol-optimized structure of Tl2AgMo.

a b c (Å): 4.6455 4.6455 3.5334
angles (deg): 90.00 90.00 90.00
Space group P4/mmm (No. 123)
Symmetry-distinct sites (fractional):
Tl: 0.0000 0.5000 0.0000 x2
Ag: 0.0000 0.0000 0.5000 x1
Mo: 0.5000 0.5000 0.5000 x1

Results
- Offset from the most stable computed form: 0.0533 eV per atom
- Total DFT energy (no corrections): -52.1021 eV per atom
- DFT formation energy: 0.640 eV per atom

11.
## Y2Al14Fe3 (meta-GGA SCAN)

Data for a PBEsol-optimized structure of Y2Al14Fe3.

a b c (Å): 8.9221 8.9221 8.8227
angles (deg): 90.00 90.00 120.00
Space group P6_3/mmc (No. 194)
Symmetry-distinct sites (fractional):
Y: 0.0000 0.0000 0.2500 x2
Y: 0.3333 0.6667 0.2500 x2
Al: 0.0326 0.3724 0.7500 x12
Al: 0.1741 0.3481 0.0219 x12
Al: 0.3333 0.6667 0.5943 x4
Fe: 0.0000 0.5000 0.0000 x6

Results
- Total DFT energy (no corrections): -11.8845 eV per atom
- DFT formation energy: -0.379 eV per atom

12.
## PrNiC2 (meta-GGA SCAN)

Data for a PBEsol-optimized structure of PrNiC2.

a b c (Å): 3.8452 4.5102 6.0346
angles (deg): 90.00 90.00 90.00
Space group Amm2 (No. 38)
Symmetry-distinct sites (fractional):
Pr: 0.0000 0.0000 0.0000 x2
Ni: 0.5000 0.0000 0.3880 x2
C: 0.5000 0.1516 0.6985 x4

Results
- Total DFT energy (no corrections): -20.2422 eV per atom
- DFT formation energy: -0.318 eV per atom

Q: Which of these has the highest total DFT energy (no corrections)?
A: Y2Al14Fe3

Q: The highest total DFT energy (no corrections) belongs to which entry?
A: Y2Al14Fe3